Record 1
A plane-wave DFT calculation with PBE-GGA was carried out for a relaxed HoTmPuTl crystal.

a b c (Å): 5.4147 5.4147 5.4147
angles (deg): 60.00 60.00 60.00
Positions (direct):
Ho: 0.0000 0.0000 0.0000
Tm: 0.2500 0.2500 0.2500
Pu: 0.5000 0.5000 0.5000
Tl: 0.7500 0.7500 0.7500

Values from the calculation:
For the energy relative to the elements, the calculation gives 6.0 kJ per mole of atoms. The space-group type is F-43m (216).

Record 2
A plane-wave DFT calculation with PBE-GGA was carried out for a relaxed Ho4Tm5Pu crystal.

a b c (Å): 8.4426 8.4426 11.1552
angles (deg): 108.55 108.55 23.68
Positions (direct):
Ho: 0.0847 0.0847 0.2919
Ho: 0.3941 0.3941 0.2017
Ho: 0.6059 0.6059 0.7983
Ho: 0.9153 0.9153 0.7081
Tm: 0.1888 0.1888 0.0785
Tm: 0.2111 0.2111 0.6163
Tm: 0.5000 0.5000 0.5000
Tm: 0.7889 0.7889 0.3837
Tm: 0.8112 0.8112 0.9215
Pu: 0.5000 0.5000 0.0000

Values from the calculation:
For the energy relative to the elements, the calculation gives 5.8 kJ per mole of atoms. Its distance to the lowest polymorph of the same formula is 0.00 eV/f.u. The space-group type is C2/m (12).

Record 3
A plane-wave DFT calculation with PBE-GGA was carried out for a relaxed Ho9Tm4Pu crystal.

a b c (Å): 9.6017 9.6017 10.9530
angles (deg): 90.00 90.00 120.00
Positions (direct):
Ho: 0.0742 0.5371 0.2500
Ho: 0.2093 0.4187 0.5325
Ho: 0.2093 0.4187 0.9675
Ho: 0.2093 0.7907 0.5325
Ho: 0.2093 0.7907 0.9675
Ho: 0.4187 0.2093 0.0325
Ho: 0.4187 0.2093 0.4675
Ho: 0.4629 0.5371 0.2500
Ho: 0.4629 0.9258 0.2500
Ho: 0.5371 0.0742 0.7500
Ho: 0.5371 0.4629 0.7500
Ho: 0.5813 0.7907 0.5325
Ho: 0.5813 0.7907 0.9675
Ho: 0.7907 0.2093 0.0325
Ho: 0.7907 0.2093 0.4675
Ho: 0.7907 0.5813 0.0325
Ho: 0.7907 0.5813 0.4675
Ho: 0.9258 0.4629 0.7500
Tm: 0.0000 0.0000 0.0000
Tm: 0.0000 0.0000 0.5000
Tm: 0.1118 0.2236 0.2500
Tm: 0.1118 0.8882 0.2500
Tm: 0.2236 0.1118 0.7500
Tm: 0.7764 0.8882 0.2500
Tm: 0.8882 0.1118 0.7500
Tm: 0.8882 0.7764 0.7500
Pu: 0.3333 0.6667 0.7500
Pu: 0.6667 0.3333 0.2500

Values from the calculation:
For the energy relative to the elements, the calculation gives 17.7 kJ per mole of atoms. The space-group type is P6_3/mmc (194).

Record 4
A plane-wave DFT calculation with PBE-GGA was carried out for a relaxed Ho6TmPu crystal.

a b c (Å): 5.6180 7.0942 7.0942
angles (deg): 60.01 90.00 90.00
Positions (direct):
Ho: 0.0000 0.0000 0.0000
Ho: 0.0000 0.5021 0.9946
Ho: 0.0000 0.9946 0.5021
Ho: 0.5000 0.1673 0.1673
Ho: 0.5000 0.1674 0.6653
Ho: 0.5000 0.6653 0.1674
Tm: 0.0000 0.5019 0.5019
Pu: 0.5000 0.6660 0.6660

Values from the calculation:
For the energy relative to the elements, the calculation gives 5.5 kJ per mole of atoms. Its distance to the lowest polymorph of the same formula is 0.00 eV/f.u. The space-group type is Amm2 (38).

Record 5
A plane-wave DFT calculation with PBE-GGA was carried out for a relaxed Ho12Tm6Pu crystal.

a b c (Å): 9.2713 9.2713 9.2713
angles (deg): 110.93 110.93 110.93
Positions (direct):
Ho: 0.0552 0.5812 0.3713
Ho: 0.1053 0.1560 0.7390
Ho: 0.1560 0.7390 0.1053
Ho: 0.2610 0.8947 0.8440
Ho: 0.3713 0.0552 0.5812
Ho: 0.4188 0.6287 0.9448
Ho: 0.5812 0.3713 0.0552
Ho: 0.6287 0.9448 0.4188
Ho: 0.7390 0.1053 0.1560
Ho: 0.8440 0.2610 0.8947
Ho: 0.8947 0.8440 0.2610
Ho: 0.9448 0.4188 0.6287
Tm: 0.2099 0.3141 0.4709
Tm: 0.3141 0.4709 0.2099
Tm: 0.4709 0.2099 0.3141
Tm: 0.5291 0.7901 0.6859
Tm: 0.6859 0.5291 0.7901
Tm: 0.7901 0.6859 0.5291
Pu: 0.0000 0.0000 0.0000

Values from the calculation:
For the energy relative to the elements, the calculation gives 3.2 kJ per mole of atoms. The space-group type is R-3 (148).

Record 6
A plane-wave DFT calculation with PBE-GGA was carried out for a relaxed Ho6Tm8Pu crystal.

a b c (Å): 9.6213 9.6213 5.6822
angles (deg): 90.00 90.00 120.00
Positions (direct):
Ho: 0.0935 0.6217 0.2467
Ho: 0.3783 0.4718 0.2467
Ho: 0.4718 0.0935 0.7533
Ho: 0.5282 0.9065 0.2467
Ho: 0.6217 0.5282 0.7533
Ho: 0.9065 0.3783 0.7533
Tm: 0.0517 0.7859 0.7367
Tm: 0.2141 0.2658 0.7367
Tm: 0.2658 0.0517 0.2633
Tm: 0.3333 0.6667 0.7375
Tm: 0.6667 0.3333 0.2625
Tm: 0.7342 0.9483 0.7367
Tm: 0.7859 0.7342 0.2633
Tm: 0.9483 0.2141 0.2633
Pu: 0.0000 0.0000 0.0000

Values from the calculation:
For the energy relative to the elements, the calculation gives 12.9 kJ per mole of atoms. The space-group type is P-3 (147).

Record 7
A plane-wave DFT calculation with PBE-GGA was carried out for a relaxed HoTm2Pu crystal.

a b c (Å): 5.5225 5.5225 5.5225
angles (deg): 60.00 60.00 60.00
Positions (direct):
Ho: 0.0000 0.0000 0.0000
Tm: 0.2500 0.2500 0.2500
Tm: 0.7500 0.7500 0.7500
Pu: 0.5000 0.5000 0.5000

Values from the calculation:
For the energy relative to the elements, the calculation gives 17.0 kJ per mole of atoms. Its distance to the lowest polymorph of the same formula is 0.38 eV/f.u. The space-group type is Fm-3m (225).

Record 8
A plane-wave DFT calculation with PBE-GGA was carried out for a relaxed Ho6Tm3Pu crystal.

a b c (Å): 6.6434 6.7685 6.7696
angles (deg): 94.96 90.12 90.04
Positions (direct):
Ho: 0.0000 0.0000 0.0000
Ho: 0.0443 0.2087 0.5081
Ho: 0.2445 0.7550 0.5604
Ho: 0.4460 0.8082 0.1080
Ho: 0.4896 0.3156 0.3157
Ho: 0.7443 0.5911 0.7245
Tm: 0.2445 0.4308 0.8862
Tm: 0.5760 0.1233 0.7882
Tm: 0.9124 0.5275 0.1926
Pu: 0.7453 0.9004 0.4162

Values from the calculation:
For the energy relative to the elements, the calculation gives 17.0 kJ per mole of atoms. The space-group type is P1 (1).

Record 9
A plane-wave DFT calculation with PBE-GGA was carried out for a relaxed HoTm2Pu crystal.

a b c (Å): 3.4580 3.4580 9.8852
angles (deg): 90.00 90.00 90.00
Positions (direct):
Ho: 0.0000 0.0000 0.0000
Tm: 0.5000 0.5000 0.2546
Tm: 0.5000 0.5000 0.7454
Pu: 0.0000 0.0000 0.5000

Values from the calculation:
For the energy relative to the elements, the calculation gives 8.8 kJ per mole of atoms. Its distance to the lowest polymorph of the same formula is 0.04 eV/f.u. The space-group type is P4/mmm (123).

Record 10
A plane-wave DFT calculation with PBE-GGA was carried out for a relaxed Ho3Tm2Pu crystal.

a b c (Å): 8.4099 8.4099 8.4099
angles (deg): 140.72 96.10 96.87
Positions (direct):
Ho: 0.0868 0.7500 0.3368
Ho: 0.2500 0.2500 0.0000
Ho: 0.4132 0.7500 0.6632
Ho: 0.5868 0.2500 0.3368
Ho: 0.7500 0.7500 0.0000
Ho: 0.9132 0.2500 0.6632
Tm: 0.1681 0.0418 0.2099
Tm: 0.3319 0.5418 0.8737
Tm: 0.6681 0.4582 0.1263
Tm: 0.8319 0.9582 0.7901
Pu: 0.0000 0.5000 0.5000
Pu: 0.5000 0.0000 0.5000

Values from the calculation:
For the energy relative to the elements, the calculation gives 53.7 kJ per mole of atoms. The space-group type is Ibam (72).

Record 11
A plane-wave DFT calculation with PBE-GGA was carried out for a relaxed HoTm2Pu crystal.

a b c (Å): 6.0189 6.0189 6.0161
angles (deg): 99.42 99.42 33.11
Positions (direct):
Ho: 0.0000 0.0000 0.0000
Tm: 0.5057 0.5057 0.5110
Tm: 0.7532 0.7532 0.2566
Pu: 0.2525 0.2525 0.7556

Values from the calculation:
For the energy relative to the elements, the calculation gives 7.9 kJ per mole of atoms. Its distance to the lowest polymorph of the same formula is 0.00 eV/f.u. The space-group type is Cm (8).

Record 12
A plane-wave DFT calculation with PBE-GGA was carried out for a relaxed Ho2Tm2Pu crystal.

a b c (Å): 8.8165 8.8165 8.8165
angles (deg): 126.70 62.72 149.40
Positions (direct):
Ho: 0.1914 0.1414 0.3328
Ho: 0.3086 0.6414 0.9501
Ho: 0.6914 0.3586 0.0499
Ho: 0.8086 0.8586 0.6672
Tm: 0.0803 0.6485 0.7289
Tm: 0.4197 0.1485 0.5682
Tm: 0.5803 0.8515 0.4318
Tm: 0.9197 0.3515 0.2711
Pu: 0.2500 0.2500 0.0000
Pu: 0.7500 0.7500 0.0000

Values from the calculation:
For the energy relative to the elements, the calculation gives 35.3 kJ per mole of atoms. The space-group type is Ibam (72).